Record 1
A plane-wave DFT calculation with PBE was carried out for crystalline NiRh at its relaxed geometry.

The total energy comes out at -5.24 eV/atom. The total magnetization comes out at 0.32 μB/atom. The calculation puts the calculated density at 5.59 Mg/m³. As for the energy of formation from the pure elements: 1.32 eV/atom.

The structure belongs to space group I-43m (No. 217); the cell edges are 7.270, 7.270 and 7.270 Å and the angles 90.00°, 90.00° and 90.00°. The asymmetric unit holds Ni at (0.166, 0.166, 0.166) and Rh at (0.153, 0.153, 0.847).

---

Record 2
A plane-wave DFT calculation with PBE was carried out for crystalline NiRh at its relaxed geometry.

The total energy comes out at -6.50 eV/atom. The total magnetization comes out at 0.78 μB/atom. The calculation puts the calculated density at 10.37 Mg/m³. As for the energy of formation from the pure elements: 0.07 eV/atom.

The structure belongs to space group P-6m2 (No. 187); the cell edges are 2.6691, 2.6691 and 4.1958 Å and the angles 90.00°, 90.00° and 120.00°. The asymmetric unit holds Ni at (0.0000, 0.0000, 0.0000) and Rh at (0.3333, 0.6667, 0.5000).

---

Record 3
A plane-wave DFT calculation with PBE was carried out for crystalline Ni3Rh at its relaxed geometry.

The total energy comes out at -6.13 eV/atom. The total magnetization comes out at 0.71 μB/atom. The calculation puts the calculated density at 9.73 Mg/m³. As for the energy of formation from the pure elements: 0.04 eV/atom.

The structure belongs to space group P4/mmm (No. 123); the cell edges are 2.597, 2.597 and 7.064 Å and the angles 90.00°, 90.00° and 90.00°. The asymmetric unit holds Ni at (0.000, 0.000, 0.000), Ni at (0.500, 0.500, 0.238) and Rh at (0.000, 0.000, 0.500).

---

Record 4
A plane-wave DFT calculation with PBE was carried out for crystalline Ni2Rh at its relaxed geometry.

The total energy comes out at -6.04 eV/atom. The total magnetization comes out at 0.81 μB/atom. The calculation puts the calculated density at 9.17 Mg/m³. As for the energy of formation from the pure elements: 0.27 eV/atom.

The structure belongs to space group Imma (No. 74); the cell edges are 2.572, 3.895 and 15.928 Å and the angles 90.00°, 90.00° and 90.00°. The asymmetric unit holds Ni at (0.000, 0.250, 0.039), Ni at (0.000, 0.250, 0.188) and Rh at (0.000, 0.250, 0.612).